*i*
First-principles (PBE-GGA) data for an optimized crystal structure of ThTlPb, as listed in Alexandria via LeMat-Bulk.

abc: 5.434 5.434 3.504
angles: 90.00 90.00 120.00
Fractional positions:
1 Th 0.000 0.000 0.000
2 Tl 0.333 0.667 0.392
3 Pb 0.667 0.333 0.590

Results
Symmetry: P3m1 (156)
Volume, Å³ per cell: 89.61


*ii*
First-principles (PBE-GGA) data for an optimized crystal structure of ThTlPb, as listed in Alexandria via LeMat-Bulk.

abc: 8.741 8.741 4.566
angles: 90.00 90.00 148.98
Fractional positions:
1 Th 0.093 0.907 0.750
2 Th 0.907 0.093 0.250
3 Tl 0.251 0.749 0.250
4 Tl 0.749 0.251 0.750
5 Pb 0.427 0.573 0.750
6 Pb 0.573 0.427 0.250

Results
Symmetry: Cmcm (63)
Volume, Å³ per cell: 179.77


Stability order, top to bottom: *ii*, *i*


*i*
First-principles (PBE-GGA) data for an optimized crystal structure of TmTh2Pb3, as listed in Alexandria via LeMat-Bulk.

abc: 6.558 6.558 8.795
angles: 100.43 100.43 91.86
Fractional positions:
1 Tm 0.074 0.926 0.750
2 Tm 0.926 0.074 0.250
3 Th 0.173 0.594 0.374
4 Th 0.406 0.827 0.126
5 Th 0.594 0.173 0.874
6 Th 0.827 0.406 0.626
7 Pb 0.135 0.298 0.012
8 Pb 0.298 0.135 0.512
9 Pb 0.393 0.607 0.750
10 Pb 0.607 0.393 0.250
11 Pb 0.702 0.865 0.488
12 Pb 0.865 0.702 0.988

Results
Symmetry: C2/c (15)
Volume, Å³ per cell: 364.98


*ii*
First-principles (PBE-GGA) data for an optimized crystal structure of TmTh2Pb3, as listed in Alexandria via LeMat-Bulk.

abc: 7.883 7.883 4.549
angles: 90.00 90.00 141.58
Fractional positions:
1 Tm 0.000 0.000 0.000
2 Th 0.334 0.666 0.000
3 Th 0.666 0.334 0.000
4 Pb 0.162 0.838 0.500
5 Pb 0.500 0.500 0.500
6 Pb 0.838 0.162 0.500

Results
Symmetry: Cmmm (65)
Volume, Å³ per cell: 175.66


Stability order, top to bottom: *ii*, *i*


*i*
First-principles (PBE-GGA) data for an optimized crystal structure of Tm4ThPb5, as listed in Alexandria via LeMat-Bulk.

abc: 7.692 7.692 7.692
angles: 99.65 99.65 131.66
Fractional positions:
1 Tm 0.105 0.296 0.400
2 Tm 0.296 0.895 0.191
3 Tm 0.704 0.105 0.809
4 Tm 0.895 0.704 0.600
5 Th 0.501 0.501 0.000
6 Pb 0.001 0.001 0.000
7 Pb 0.191 0.598 0.789
8 Pb 0.402 0.191 0.592
9 Pb 0.598 0.809 0.408
10 Pb 0.809 0.402 0.211

Results
Symmetry: I4 (79)
Volume, Å³ per cell: 310.22


*ii*
First-principles (PBE-GGA) data for an optimized crystal structure of Tm4ThPb5, as listed in Alexandria via LeMat-Bulk.

abc: 3.548 3.548 22.234
angles: 90.00 90.00 90.00
Fractional positions:
1 Tm 0.000 0.000 0.098
2 Tm 0.000 0.000 0.296
3 Tm 0.000 0.000 0.704
4 Tm 0.000 0.000 0.902
5 Th 0.000 0.000 0.500
6 Pb 0.500 0.500 0.000
7 Pb 0.500 0.500 0.197
8 Pb 0.500 0.500 0.393
9 Pb 0.500 0.500 0.607
10 Pb 0.500 0.500 0.803

Results
Symmetry: P4/mmm (123)
Volume, Å³ per cell: 279.90


Stability order, top to bottom: *ii*, *i*


*i*
First-principles (PBE-GGA) data for an optimized crystal structure of Y2ThPb, as listed in Alexandria via LeMat-Bulk.

abc: 12.115 12.115 12.115
angles: 16.96 16.96 16.96
Fractional positions:
1 Y 0.089 0.089 0.089
2 Y 0.911 0.911 0.911
3 Th 0.500 0.500 0.500
4 Pb 0.000 0.000 0.000

Results
Symmetry: R-3m (166)
Volume, Å³ per cell: 131.97


*ii*
First-principles (PBE-GGA) data for an optimized crystal structure of Y2ThPb, as listed in Alexandria via LeMat-Bulk.

abc: 4.982 4.982 4.763
angles: 90.00 90.00 90.00
Fractional positions:
1 Y 0.000 0.500 0.000
2 Y 0.500 0.000 0.000
3 Th 0.000 0.000 0.500
4 Pb 0.500 0.500 0.500

Results
Symmetry: P4/mmm (123)
Volume, Å³ per cell: 118.22


*iii*
First-principles (PBE-GGA) data for an optimized crystal structure of Y2ThPb, as listed in Alexandria via LeMat-Bulk.

abc: 3.593 3.593 11.220
angles: 99.17 99.17 60.02
Fractional positions:
1 Y 0.000 0.000 0.000
2 Y 0.174 0.174 0.524
3 Th 0.420 0.420 0.262
4 Pb 0.587 0.587 0.762

Results
Symmetry: Cm (8)
Volume, Å³ per cell: 123.35


Stability order, top to bottom: *ii*, *iii*, *i*


*i*
First-principles (PBE-GGA) data for an optimized crystal structure of Th2ZnPb, as listed in Alexandria via LeMat-Bulk.

abc: 6.340 4.277 8.936
angles: 90.00 109.61 90.00
Fractional positions:
1 Th 0.194 0.250 0.416
2 Th 0.257 0.750 0.060
3 Th 0.743 0.250 0.940
4 Th 0.806 0.750 0.584
5 Zn 0.132 0.250 0.787
6 Zn 0.868 0.750 0.213
7 Pb 0.377 0.750 0.713
8 Pb 0.623 0.250 0.287

Results
Symmetry: P2_1/m (11)
Volume, Å³ per cell: 228.23


*ii*
First-principles (PBE-GGA) data for an optimized crystal structure of Th2ZnPb, as listed in Alexandria via LeMat-Bulk.

abc: 3.484 3.484 9.009
angles: 90.00 90.00 90.00
Fractional positions:
1 Th 0.000 0.000 0.221
2 Th 0.000 0.000 0.779
3 Zn 0.500 0.500 0.000
4 Pb 0.500 0.500 0.500

Results
Symmetry: P4/mmm (123)
Volume, Å³ per cell: 109.37


Stability order, top to bottom: *i*, *ii*


*i*
First-principles (PBE-GGA) data for an optimized crystal structure of Th2ZnPb, as listed in Alexandria via LeMat-Bulk.

abc: 4.959 4.959 4.480
angles: 90.00 90.00 90.00
Fractional positions:
1 Th 0.000 0.500 0.000
2 Th 0.500 0.000 0.000
3 Zn 0.000 0.000 0.500
4 Pb 0.500 0.500 0.500

Results
Symmetry: P4/mmm (123)
Volume, Å³ per cell: 110.14


*ii*
First-principles (PBE-GGA) data for an optimized crystal structure of Th2ZnPb, as listed in Alexandria via LeMat-Bulk.

abc: 5.418 5.418 5.418
angles: 60.00 60.00 60.00
Fractional positions:
1 Th 0.250 0.250 0.250
2 Th 0.750 0.750 0.750
3 Zn 0.000 0.000 0.000
4 Pb 0.500 0.500 0.500

Results
Symmetry: Fm-3m (225)
Volume, Å³ per cell: 112.44


*iii*
First-principles (PBE-GGA) data for an optimized crystal structure of Th2ZnPb, as listed in Alexandria via LeMat-Bulk.

abc: 11.497 11.497 11.497
angles: 17.55 17.55 17.55
Fractional positions:
1 Th 0.097 0.097 0.097
2 Th 0.903 0.903 0.903
3 Zn 0.500 0.500 0.500
4 Pb 0.000 0.000 0.000

Results
Symmetry: R-3m (166)
Volume, Å³ per cell: 120.61


Stability order, top to bottom: *i*, *ii*, *iii*


*i*
First-principles (PBE-GGA) data for an optimized crystal structure of ThZnPb2, as listed in Alexandria via LeMat-Bulk.

abc: 11.222 11.222 11.222
angles: 17.94 17.94 17.94
Fractional positions:
1 Th 0.000 0.000 0.000
2 Zn 0.500 0.500 0.500
3 Pb 0.099 0.099 0.099
4 Pb 0.901 0.901 0.901

Results
Symmetry: R-3m (166)
Volume, Å³ per cell: 117.10


*ii*
First-principles (PBE-GGA) data for an optimized crystal structure of ThZnPb2, as listed in Alexandria via LeMat-Bulk.

abc: 4.712 4.712 4.810
angles: 90.00 90.00 90.00
Fractional positions:
1 Th 0.000 0.000 0.000
2 Zn 0.500 0.500 0.000
3 Pb 0.000 0.500 0.500
4 Pb 0.500 0.000 0.500

Results
Symmetry: P4/mmm (123)
Volume, Å³ per cell: 106.77


Stability order, top to bottom: *ii*, *i*


*i*
First-principles (PBE-GGA) data for an optimized crystal structure of ThZr2Pb, as listed in Alexandria via LeMat-Bulk.

abc: 4.950 4.950 4.064
angles: 90.00 90.00 90.00
Fractional positions:
1 Th 0.000 0.000 0.000
2 Zr 0.000 0.500 0.500
3 Zr 0.500 0.000 0.500
4 Pb 0.500 0.500 0.000

Results
Symmetry: P4/mmm (123)
Volume, Å³ per cell: 99.58


*ii*
First-principles (PBE-GGA) data for an optimized crystal structure of ThZr2Pb, as listed in Alexandria via LeMat-Bulk.

abc: 11.352 11.352 4.441
angles: 90.00 90.00 157.49
Fractional positions:
1 Th 0.196 0.804 0.750
2 Th 0.804 0.196 0.250
3 Zr 0.051 0.949 0.250
4 Zr 0.450 0.550 0.250
5 Zr 0.550 0.450 0.750
6 Zr 0.949 0.051 0.750
7 Pb 0.346 0.654 0.750
8 Pb 0.654 0.346 0.250

Results
Symmetry: Cmcm (63)
Volume, Å³ per cell: 219.10


*iii*
First-principles (PBE-GGA) data for an optimized crystal structure of ThZr2Pb, as listed in Alexandria via LeMat-Bulk.

abc: 5.211 5.211 5.211
angles: 60.00 60.00 60.00
Fractional positions:
1 Th 0.000 0.000 0.000
2 Zr 0.250 0.250 0.250
3 Zr 0.750 0.750 0.750
4 Pb 0.500 0.500 0.500

Results
Symmetry: Fm-3m (225)
Volume, Å³ per cell: 100.05


Stability order, top to bottom: *ii*, *i*, *iii*


*i*
First-principles (PBE-GGA) data for an optimized crystal structure of Th2ZrPb, as listed in Alexandria via LeMat-Bulk.

abc: 4.167 4.167 6.812
angles: 90.00 90.00 90.00
Fractional positions:
1 Th 0.000 0.000 0.242
2 Th 0.000 0.000 0.758
3 Zr 0.500 0.500 0.500
4 Pb 0.500 0.500 0.000

Results
Symmetry: P4/mmm (123)
Volume, Å³ per cell: 118.25


*ii*
First-principles (PBE-GGA) data for an optimized crystal structure of Th2ZrPb, as listed in Alexandria via LeMat-Bulk.

abc: 12.324 12.324 12.324
angles: 15.97 15.97 15.97
Fractional positions:
1 Th 0.092 0.092 0.092
2 Th 0.908 0.908 0.908
3 Zr 0.500 0.500 0.500
4 Pb 0.000 0.000 0.000

Results
Symmetry: R-3m (166)
Volume, Å³ per cell: 123.49


Stability order, top to bottom: *i*, *ii*


*i*
First-principles (PBE-GGA) data for an optimized crystal structure of Ti13Pb3, as listed in Alexandria via LeMat-Bulk.

abc: 7.583 6.257 6.257
angles: 87.99 90.00 90.00
Fractional positions:
1 Ti 0.000 0.000 0.000
2 Ti 0.000 0.006 0.539
3 Ti 0.000 0.539 0.006
4 Ti 0.000 0.541 0.541
5 Ti 0.245 0.280 0.772
6 Ti 0.245 0.772 0.280
7 Ti 0.252 0.754 0.754
8 Ti 0.500 0.015 0.517
9 Ti 0.500 0.517 0.015
10 Ti 0.500 0.528 0.528
11 Ti 0.748 0.754 0.754
12 Ti 0.755 0.280 0.772
13 Ti 0.755 0.772 0.280
14 Pb 0.237 0.280 0.280
15 Pb 0.500 0.997 0.997
16 Pb 0.763 0.280 0.280

Results
Symmetry: Amm2 (38)
Volume, Å³ per cell: 296.72


*ii*
First-principles (PBE-GGA) data for an optimized crystal structure of Ti13Pb3, as listed in Alexandria via LeMat-Bulk.

abc: 4.784 6.006 10.193
angles: 90.00 90.00 90.00
Fractional positions:
1 Ti 0.000 0.000 0.000
2 Ti 0.000 0.000 0.515
3 Ti 0.000 0.236 0.753
4 Ti 0.000 0.250 0.272
5 Ti 0.000 0.500 0.505
6 Ti 0.000 0.750 0.272
7 Ti 0.000 0.764 0.753
8 Ti 0.500 0.000 0.682
9 Ti 0.500 0.242 0.931
10 Ti 0.500 0.243 0.434
11 Ti 0.500 0.500 0.196
12 Ti 0.500 0.757 0.434
13 Ti 0.500 0.758 0.931
14 Pb 0.000 0.500 0.013
15 Pb 0.500 0.000 0.179
16 Pb 0.500 0.500 0.684

Results
Symmetry: Pmm2 (25)
Volume, Å³ per cell: 292.91


Stability order, top to bottom: *ii*, *i*


*i*
First-principles (PBE-GGA) data for an optimized crystal structure of TiTl3Pb, as listed in Alexandria via LeMat-Bulk.

abc: 5.430 5.430 5.430
angles: 90.00 90.00 90.00
Fractional positions:
1 Ti 0.000 0.000 0.000
2 Tl 0.000 0.000 0.500
3 Tl 0.000 0.500 0.000
4 Tl 0.500 0.000 0.000
5 Pb 0.500 0.500 0.500

Results
Symmetry: Pm-3m (221)
Volume, Å³ per cell: 160.12


*ii*
First-principles (PBE-GGA) data for an optimized crystal structure of TiTl3Pb, as listed in Alexandria via LeMat-Bulk.

abc: 5.833 5.833 5.833
angles: 90.00 90.00 90.00
Fractional positions:
1 Ti 0.000 0.000 0.000
2 Tl 0.000 0.500 0.500
3 Tl 0.500 0.000 0.500
4 Tl 0.500 0.500 0.000
5 Pb 0.500 0.500 0.500

Results
Symmetry: Pm-3m (221)
Volume, Å³ per cell: 198.46


Stability order, top to bottom: *i*, *ii*